1.
The following is a DFT calculation (PBE-GGA) of a relaxed structure of La2Pm4PrMg.

a = 12.6038 Å, b = 7.2774 Å, c = 12.6572 Å
α = 125.07°, β = 132.31°, γ = 89.98°
Positions (direct):
La: 0.5006 0.9998 0.0006
La: 0.4963 0.9976 0.4964
La: 0.9998 0.0018 0.4999
La: 0.5018 0.5005 0.0018
Pm: 0.2466 0.7470 0.9960
Pm: 0.7532 0.2548 0.5044
Pm: 0.2468 0.7470 0.4974
Pm: 0.7538 0.2507 0.0018
Pm: 0.7530 0.7521 0.0016
Pm: 0.7531 0.7544 0.5048
Pm: 0.2470 0.2483 0.4978
Pm: 0.2474 0.2462 0.9970
Pr: 0.5002 0.5010 0.5002
Pr: 0.0020 0.9998 0.0019
Mg: 0.9986 0.4979 0.9985
Mg: 0.9999 0.5010 0.4999

Results
The uncorrected energy comes out at -4.39 eV per atom. The value obtained for the energy relative to the elements is 0.015 eV per atom.



2.
The following is a DFT calculation (PBE-GGA) of a relaxed structure of LaPm2Pr5Mg.

a = 5.6636 Å, b = 10.5506 Å, c = 11.0082 Å
α = 90.00°, β = 90.00°, γ = 105.57°
Positions (direct):
La: 0.8008 0.6015 0.5084
La: 0.1992 0.3985 0.0084
Pm: 0.8856 0.7712 0.7981
Pm: 0.1146 0.2292 0.7187
Pm: 0.1144 0.2288 0.2981
Pm: 0.8854 0.7708 0.2187
Pr: 0.3816 0.7632 0.0083
Pr: 0.7114 0.4228 0.8077
Pr: 0.4998 0.9996 0.7579
Pr: 0.2892 0.5784 0.7089
Pr: 0.9872 0.9743 0.5084
Pr: 0.6184 0.2368 0.5083
Pr: 0.2886 0.5772 0.3077
Pr: 0.5002 0.0004 0.2579
Pr: 0.7108 0.4216 0.2089
Pr: 0.0128 0.0257 0.0084
Mg: 0.5941 0.1882 0.0075
Mg: 0.4059 0.8118 0.5075

Results
The uncorrected energy comes out at -4.36 eV per atom. The value obtained for the energy relative to the elements is 0.080 eV per atom.



3.
The following is a DFT calculation (PBE-GGA) of a relaxed structure of LaPm2Pr6Mg.

a = 9.7002 Å, b = 8.7400 Å, c = 8.7400 Å
α = 106.00°, β = 96.56°, γ = 96.56°
Positions (direct):
La: 0.2500 0.9346 0.0654
La: 0.7500 0.0654 0.9346
Pm: 0.4069 0.7951 0.7320
Pm: 0.0931 0.2680 0.2049
Pm: 0.5931 0.2049 0.2680
Pm: 0.9069 0.7320 0.7951
Pr: 0.0754 0.0799 0.7326
Pr: 0.4246 0.2674 0.9201
Pr: 0.9246 0.9201 0.2674
Pr: 0.5754 0.7326 0.0799
Pr: 0.3284 0.0311 0.4612
Pr: 0.1716 0.5388 0.9689
Pr: 0.6716 0.9689 0.5388
Pr: 0.8284 0.4612 0.0311
Pr: 0.0955 0.6702 0.4357
Pr: 0.4045 0.5643 0.3298
Pr: 0.9045 0.3298 0.5643
Pr: 0.5955 0.4357 0.6702
Mg: 0.2500 0.3997 0.6003
Mg: 0.7500 0.6003 0.3997

Results
The uncorrected energy comes out at -4.38 eV per atom. The value obtained for the energy relative to the elements is 0.093 eV per atom.



4.
The following is a DFT calculation (PBE-GGA) of a relaxed structure of La2Pm6PrMg.

a = 9.9486 Å, b = 8.7682 Å, c = 8.7682 Å
α = 115.20°, β = 95.32°, γ = 95.32°
Positions (direct):
La: 0.4477 0.7949 0.7065
La: 0.0523 0.2935 0.2051
La: 0.5523 0.2051 0.2935
La: 0.9477 0.7065 0.7949
Pm: 0.0527 0.1156 0.7379
Pm: 0.4473 0.2621 0.8844
Pm: 0.9473 0.8844 0.2621
Pm: 0.5527 0.7379 0.1156
Pm: 0.3094 0.9950 0.4256
Pm: 0.1906 0.5744 0.0050
Pm: 0.6906 0.0050 0.5744
Pm: 0.8094 0.4256 0.9950
Pm: 0.1111 0.6921 0.4880
Pm: 0.3889 0.5120 0.3079
Pm: 0.8889 0.3079 0.5120
Pm: 0.6111 0.4880 0.6921
Pr: 0.2500 0.9908 0.0092
Pr: 0.7500 0.0092 0.9908
Mg: 0.2500 0.4018 0.5982
Mg: 0.7500 0.5982 0.4018

Results
The uncorrected energy comes out at -4.37 eV per atom. The value obtained for the energy relative to the elements is 0.100 eV per atom.